! PBE Cs2SnCl7, relaxed; values from VASP
! - ΔE_f (raw): -1241 meV per atom
! - Size of the total moment: 0.999 μB/f.u.
! - Polymorph energy (0 for the lowest one): 0 meV/atom
! - Crystal system: monoclinic
! - VASP energy: -62.085 eV/cell
! - Volume: 40.4 Å³/atom
&SYSTEM
  ibrav = 0, nat = 20, ntyp = 3
/
ATOMIC_SPECIES
Cs 132.91 Cs.upf
Sn 118.71 Sn.upf
Cl 35.45 Cl.upf
CELL_PARAMETERS angstrom
8.000 -5.958 0.000
8.000 5.958 0.000
-7.013 0.000 8.475
ATOMIC_POSITIONS crystal
Cs 0.022 0.308 0.131
Cs 0.308 0.022 0.631
Cs 0.692 0.978 0.369
Cs 0.978 0.692 0.869
Sn 0.408 0.592 0.750
Sn 0.592 0.408 0.250
Cl 0.001 0.165 0.752
Cl 0.165 0.001 0.252
Cl 0.222 0.416 0.675
Cl 0.234 0.629 0.519
Cl 0.371 0.766 0.981
Cl 0.393 0.607 0.250
Cl 0.416 0.222 0.175
Cl 0.584 0.778 0.825
Cl 0.607 0.393 0.750
Cl 0.629 0.234 0.019
Cl 0.766 0.371 0.481
Cl 0.778 0.584 0.325
Cl 0.835 0.999 0.748
Cl 0.999 0.835 0.248

! PBE MgHg3N, relaxed; values from VASP
! - ΔE_f (raw): 1065 meV per atom
! - Size of the total moment: 2.553 μB/f.u.
! - Polymorph energy (0 for the lowest one): 325 meV/atom
! - Crystal system: cubic
! - VASP energy: -5.501 eV/cell
! - Volume: 36.0 Å³/atom
&SYSTEM
  ibrav = 0, nat = 5, ntyp = 3
/
ATOMIC_SPECIES
Mg 24.30 Mg.upf
Hg 200.59 Hg.upf
N 14.01 N.upf
CELL_PARAMETERS angstrom
5.646 0.000 0.000
0.000 5.646 0.000
0.000 0.000 5.646
ATOMIC_POSITIONS crystal
Mg 0.000 0.000 0.000
Hg 0.000 0.000 0.500
Hg 0.000 0.500 0.000
Hg 0.500 0.000 0.000
N 0.500 0.500 0.500

! PBE ZrInSb2, relaxed; values from VASP
! - ΔE_f (raw): -145 meV per atom
! - Size of the total moment: 0.000 μB/f.u.
! - Crystal system: orthorhombic
! - VASP energy: -20.113 eV/cell
! - Volume: 24.8 Å³/atom
&SYSTEM
  ibrav = 0, nat = 4, ntyp = 3
/
ATOMIC_SPECIES
Zr 91.22 Zr.upf
In 114.82 In.upf
Sb 121.76 Sb.upf
CELL_PARAMETERS angstrom
3.167 -4.072 0.000
3.167 4.072 0.000
0.000 0.000 3.843
ATOMIC_POSITIONS crystal
Zr 0.000 0.000 0.000
In 0.500 0.500 0.000
Sb 0.000 0.500 0.500
Sb 0.500 0.000 0.500

! PBE CeHo2Ru3, relaxed; values from VASP
! - ΔH_f (0 K): -2.44 eV/f.u.
! - Size of the total moment: 0.000 μB/f.u.
! - Polymorph energy (0 for the lowest one): 0 meV/atom
! - Crystal system: orthorhombic
! - VASP energy: -90.705 eV/cell
! - Volume: 19.8 Å³/atom
&SYSTEM
  ibrav = 0, nat = 12, ntyp = 3
/
ATOMIC_SPECIES
Ce 140.12 Ce.upf
Ho 164.93 Ho.upf
Ru 101.07 Ru.upf
CELL_PARAMETERS angstrom
2.416 -7.195 0.000
2.416 7.195 0.000
0.000 0.000 6.822
ATOMIC_POSITIONS crystal
Ce 0.165 0.835 0.000
Ce 0.835 0.165 0.000
Ho 0.166 0.834 0.500
Ho 0.500 0.500 0.000
Ho 0.500 0.500 0.500
Ho 0.834 0.166 0.500
Ru 0.000 0.000 0.242
Ru 0.000 0.000 0.758
Ru 0.330 0.670 0.238
Ru 0.330 0.670 0.762
Ru 0.670 0.330 0.238
Ru 0.670 0.330 0.762

! PBE Be2SeCl, relaxed; values from VASP
! - ΔE_f (raw): -333 meV per atom
! - Size of the total moment: 0.000 μB/f.u.
! - Polymorph energy (0 for the lowest one): 76 meV/atom
! - Crystal system: monoclinic
! - VASP energy: -14.114 eV/cell
! - Volume: 20.2 Å³/atom
&SYSTEM
  ibrav = 0, nat = 4, ntyp = 3
/
ATOMIC_SPECIES
Be 9.01 Be.upf
Se 78.96 Se.upf
Cl 35.45 Cl.upf
CELL_PARAMETERS angstrom
3.595 0.000 0.000
0.000 3.502 0.000
-1.779 0.000 6.405
ATOMIC_POSITIONS crystal
Be 0.000 0.000 0.000
Be 0.476 0.500 0.955
Se 0.589 0.000 0.179
Cl 0.328 0.500 0.657

! PBE AcTbPu2Se4, relaxed; values from VASP
! - ΔE_f (raw): -1652 meV per atom
! - Size of the total moment: 0.099 μB/f.u.
! - Crystal system: monoclinic
! - VASP energy: -64.558 eV/cell
! - Volume: 26.7 Å³/atom
&SYSTEM
  ibrav = 0, nat = 8, ntyp = 4
/
ATOMIC_SPECIES
Ac 227.00 Ac.upf
Tb 158.93 Tb.upf
Pu 244.00 Pu.upf
Se 78.96 Se.upf
CELL_PARAMETERS angstrom
7.252 0.000 0.000
0.000 4.209 0.000
-2.459 0.000 6.984
ATOMIC_POSITIONS crystal
Ac 0.000 0.000 0.000
Tb 0.000 0.500 0.500
Pu 0.500 0.000 0.500
Pu 0.500 0.500 0.000
Se 0.254 0.000 0.740
Se 0.263 0.500 0.268
Se 0.737 0.500 0.732
Se 0.746 0.000 0.260